{
  "formula": "MnIr2W",
  "functional": "GGA-PBEsol",
  "state": "optimized geometry",
  "formation_enthalpy_0k_mev_per_atom": -170,
  "lattice_angstrom": [[-1.627, -1.687, 1.367], [0.082, -2.970, -3.566], [3.484, -1.014, 2.894]],
  "species": ["Ir", "Ir", "Mn", "W"],
  "frac_coords": [[0.000, 0.500, 0.000], [0.000, 0.000, 0.500], [0.500, 0.000, 0.000], [0.500, 0.500, 0.500]]
}